Tl2SeS: optimized geometry, PBE.

Unit cell a=4.2036 b=4.2036 c=20.7467 alpha=90.00 beta=90.00 gamma=120.00
Space group R-3m (No. 166, hexagonal axes)
One atom of each set of equivalent atoms:
1 Tl 0.0000 0.0000 0.2468
2 Se 0.0000 0.0000 0.0000
3 S 0.0000 0.0000 0.5000

Computed properties:
For the size of the total moment, the calculation gives 0.000 μB/f.u. The calculation puts the raw total energy at -39.54 eV per cell. Its energy above the most stable polymorph in this dataset is 30 meV per atom. For the uncorrected formation energy, the calculation gives -0.208 eV per atom. As for the density of states at the Fermi level: 8.064 states/eV/cell.

BaAc3Se4: optimized geometry, PBE.

Unit cell a=9.0839 b=12.7684 c=4.4955 alpha=90.00 beta=90.00 gamma=90.00
Space group Cmmm (No. 65)
One atom of each set of equivalent atoms:
1 Ba 0.0000 0.0000 0.0000
2 Ac 0.0000 0.5000 0.0000
3 Ac 0.2500 0.2500 0.5000
4 Se 0.0000 0.2538 0.0000
5 Se 0.2411 0.5000 0.5000

Computed properties:
For the size of the total moment, the calculation gives 0.000 μB/f.u. The calculation puts the raw total energy at -86.75 eV per cell. For the uncorrected formation energy, the calculation gives -1.899 eV per atom. As for the density of states at the Fermi level: 7.855 states/eV/cell.

Mg2TlWBr: optimized geometry, PBE.

Unit cell a=5.4071 b=5.4071 c=5.4102 alpha=90.00 beta=90.00 gamma=90.00
Space group P4/mmm (No. 123)
One atom of each set of equivalent atoms:
1 Mg 0.0000 0.5000 0.0000
2 Tl 0.0000 0.0000 0.0000
3 W 0.0000 0.0000 0.5000
4 Br 0.5000 0.5000 0.5000

Computed properties:
For the size of the total moment, the calculation gives 4.126 μB/f.u. The calculation puts the raw total energy at -14.74 eV per cell. For the uncorrected formation energy, the calculation gives 1.088 eV per atom. As for the density of states at the Fermi level: 2.379 states/eV/cell.

ZnTe2Au2: optimized geometry, PBE.

Unit cell a=5.5842 b=5.5842 c=8.0346 alpha=90.00 beta=90.00 gamma=90.00
Space group I4/mmm (No. 139)
One atom of each set of equivalent atoms:
1 Zn 0.0000 0.0000 0.0000
2 Te 0.0000 0.5000 0.2500
3 Au 0.0000 0.0000 0.3199

Computed properties:
For the size of the total moment, the calculation gives 0.000 μB/f.u. The calculation puts the raw total energy at -27.34 eV per cell. Its energy above the most stable polymorph in this dataset is 0 meV per atom. For the uncorrected formation energy, the calculation gives 0.088 eV per atom. As for the density of states at the Fermi level: 2.757 states/eV/cell.

Ac2InPd12Au3: optimized geometry, PBE.

Unit cell a=8.3243 b=8.3243 c=20.3437 alpha=90.00 beta=90.00 gamma=120.00
Space group R-3m (No. 166, hexagonal axes)
One atom of each set of equivalent atoms:
1 Ac 0.0000 0.0000 0.1221
2 In 0.0000 0.0000 0.5000
3 Pd 0.0154 0.5077 0.6196
4 Pd 0.0170 0.5085 0.8699
5 Au 0.0000 0.5000 0.0000

Computed properties:
For the size of the total moment, the calculation gives 0.000 μB/f.u. Its formation energy is -4 meV/atom. The calculation puts the raw total energy at -249.53 eV per cell. As for the density of states at the Fermi level: 20.185 states/eV/cell.

SrZr7: optimized geometry, PBE.

Unit cell a=9.2294 b=9.2294 c=9.2294 alpha=90.00 beta=90.00 gamma=90.00
Space group Fm-3m (No. 225)
One atom of each set of equivalent atoms:
1 Sr 0.0000 0.0000 0.0000
2 Zr 0.0000 0.0000 0.5000
3 Zr 0.0000 0.2500 0.2500

Computed properties:
For the size of the total moment, the calculation gives 0.000 μB/f.u. Its formation energy is 297 meV/atom. The calculation puts the raw total energy at -236.58 eV per cell. As for the density of states at the Fermi level: 45.995 states/eV/cell.

Na4In3Ag2: optimized geometry, PBE.

Unit cell a=15.4493 b=4.6525 c=7.1747 alpha=90.00 beta=108.42 gamma=90.00
Space group C2/m (No. 12)
One atom of each set of equivalent atoms:
1 Na 0.1001 0.0000 0.3711
2 Na 0.2278 0.5000 0.1728
3 In 0.0000 0.5000 0.0000
4 In 0.0961 0.5000 0.6759
5 Ag 0.0901 0.0000 0.9158

Computed properties:
For the size of the total moment, the calculation gives 0.000 μB/f.u. Its formation energy is -79 meV/atom. The calculation puts the raw total energy at -39.81 eV per cell. As for the density of states at the Fermi level: 6.522 states/eV/cell.

Dy3Y4S8: optimized geometry, PBE.

Unit cell a=11.0412 b=11.0418 c=7.8073 alpha=90.00 beta=134.99 gamma=90.00
Space group C2/m (No. 12)
One atom of each set of equivalent atoms:
1 Dy 0.0000 0.0000 0.0000
2 Dy 0.2500 0.2500 0.0000
3 Y 0.0000 0.0000 0.5000
4 Y 0.0000 0.5000 0.0000
5 Y 0.2500 0.2500 0.5000
6 S 0.0000 0.2497 0.0000
7 S 0.0000 0.2509 0.5000
8 S 0.2494 0.5000 0.5008
9 S 0.2494 0.5000 0.9981

Computed properties:
For the size of the total moment, the calculation gives 0.000 μB/f.u. The calculation puts the raw total energy at -207.00 eV per cell. For the uncorrected formation energy, the calculation gives -2.054 eV per atom. As for the density of states at the Fermi level: 12.700 states/eV/cell.